Entry 1:
VASP calculation (PBE) on Ho2ScCd8 after structural relaxation.

It has space group Immm (No. 71), with a = 4.9973 Å, b = 7.1800 Å, c = 14.5081 Å, α = 90.00°, β = 90.00° and γ = 90.00°. The inequivalent atoms are Ho at (0.0000, 0.0000, 0.2009), Sc at (0.0000, 0.0000, 0.5000), Cd at (0.0000, 0.2108, 0.0000), Cd at (0.0000, 0.2911, 0.3639) and Cd at (0.0000, 0.5000, 0.1548).

The crystal system is orthorhombic. For the mass density, the calculation gives 8.1 g/cm3. The formation energy is -1.8 eV per formula unit.

***

Entry 2:
VASP calculation (PBE) on Li6Tl3Ga after structural relaxation.

It has space group P2_1/m (No. 11), with a = 8.2159 Å, b = 4.7433 Å, c = 10.1288 Å, α = 90.00°, β = 106.08° and γ = 90.00°. The inequivalent atoms are Li at (0.0460, 0.2500, 0.4055), Li at (0.1653, 0.7500, 0.1978), Li at (0.2674, 0.2500, 0.0057), Li at (0.3517, 0.2500, 0.3124), Li at (0.3620, 0.7500, 0.8090), Li at (0.4513, 0.2500, 0.6245), Tl at (0.0444, 0.7500, 0.8994), Tl at (0.1490, 0.2500, 0.7019), Tl at (0.2741, 0.7500, 0.4964) and Ga at (0.4477, 0.7500, 0.0900).

The crystal system is monoclinic. For the mass density, the calculation gives 6.3 g/cm3. The formation energy is -2.3 eV per formula unit.

***

Entry 3:
VASP calculation (PBE) on YCd2Sb after structural relaxation.

It has space group F-43m (No. 216), with a = 7.4631 Å, b = 7.4631 Å, c = 7.4631 Å, α = 90.00°, β = 90.00° and γ = 90.00°. The inequivalent atoms are Y at (0.0000, 0.0000, 0.0000), Cd at (0.0000, 0.0000, 0.5000), Cd at (0.2500, 0.2500, 0.7500) and Sb at (0.2500, 0.2500, 0.2500).

The value obtained for the formation energy (no corrections) is -220 meV per atom. The crystal system is cubic. For the mass density, the calculation gives 7.0 g/cm3.

***

Entry 4:
VASP calculation (PBE) on CeDy2Tl after structural relaxation.

It has space group Fm-3m (No. 225), with a = 7.6432 Å, b = 7.6432 Å, c = 7.6432 Å, α = 90.00°, β = 90.00° and γ = 90.00°. The inequivalent atoms are Ce at (0.0000, 0.0000, 0.0000), Dy at (0.2500, 0.2500, 0.2500) and Tl at (0.0000, 0.0000, 0.5000).

The calculation puts the energy above the most stable polymorph in this dataset at 0.1615 eV/atom. The crystal system is cubic. For the mass density, the calculation gives 10.0 g/cm3. The formation energy is 0.1 eV per formula unit.

***

Entry 5:
VASP calculation (PBE) on Zr2HO after structural relaxation.

It has space group R3m (No. 160, hexagonal axes), with a = 3.1402 Å, b = 3.1402 Å, c = 17.4081 Å, α = 90.00°, β = 90.00° and γ = 120.00°. The inequivalent atoms are Zr at (0.0000, 0.0000, 0.0000), Zr at (0.0000, 0.0000, 0.1762), H at (0.0000, 0.0000, 0.5837) and O at (0.0000, 0.0000, 0.7547).

The calculation puts the energy above the most stable polymorph in this dataset at 0.0977 eV/atom. The crystal system is trigonal. For the mass density, the calculation gives 6.7 g/cm3.

***

Entry 6:
VASP calculation (PBE) on NdTmOsPd after structural relaxation.

It has space group F-43m (No. 216), with a = 6.9713 Å, b = 6.9713 Å, c = 6.9713 Å, α = 90.00°, β = 90.00° and γ = 90.00°. The inequivalent atoms are Nd at (0.0000, 0.0000, 0.0000), Tm at (0.0000, 0.0000, 0.5000), Os at (0.2500, 0.2500, 0.2500) and Pd at (0.2500, 0.2500, 0.7500).

The crystal system is cubic. For the mass density, the calculation gives 12.0 g/cm3. The formation energy is -1.8 eV per formula unit.

***

Entry 7:
VASP calculation (PBE) on MnCdTc2 after structural relaxation.

It has space group P4/mmm (No. 123), with a = 2.7448 Å, b = 2.7448 Å, c = 7.8990 Å, α = 90.00°, β = 90.00° and γ = 90.00°. The inequivalent atoms are Mn at (0.0000, 0.0000, 0.0000), Cd at (0.0000, 0.0000, 0.5000) and Tc at (0.5000, 0.5000, 0.2114).

The crystal system is tetragonal. For the mass density, the calculation gives 10.1 g/cm3. The formation energy is 1.1 eV per formula unit.

***

Entry 8:
VASP calculation (PBE) on RbTlW3 after structural relaxation.

It has space group Pm-3m (No. 221), with a = 5.1828 Å, b = 5.1828 Å, c = 5.1828 Å, α = 90.00°, β = 90.00° and γ = 90.00°. The inequivalent atoms are Rb at (0.0000, 0.0000, 0.0000), Tl at (0.5000, 0.5000, 0.5000) and W at (0.0000, 0.5000, 0.5000).

The calculation puts the energy above the most stable polymorph in this dataset at 0.0000 eV/atom. The crystal system is cubic. For the mass density, the calculation gives 10.0 g/cm3. The formation energy is 16.6 eV per formula unit.

***

Entry 9:
VASP calculation (PBE) on LiAl2HgTe4 after structural relaxation.

It has space group Fmm2 (No. 42), with a = 8.6871 Å, b = 9.6754 Å, c = 12.3694 Å, α = 90.00°, β = 90.00° and γ = 90.00°. The inequivalent atoms are Li at (0.0000, 0.0000, 0.0000), Al at (0.2500, 0.2500, 0.2534), Hg at (0.0000, 0.0000, 0.4941), Te at (0.0000, 0.2469, 0.1195) and Te at (0.2385, 0.0000, 0.8526).

The value obtained for the formation energy (no corrections) is -385 meV per atom. The crystal system is orthorhombic. For the mass density, the calculation gives 4.9 g/cm3.

***

Entry 10:
VASP calculation (PBE) on NaCr2TcSe after structural relaxation.

It has space group P4/mmm (No. 123), with a = 4.4598 Å, b = 4.4598 Å, c = 4.6363 Å, α = 90.00°, β = 90.00° and γ = 90.00°. The inequivalent atoms are Na at (0.0000, 0.0000, 0.0000), Cr at (0.0000, 0.5000, 0.5000), Tc at (0.5000, 0.5000, 0.0000) and Se at (0.5000, 0.5000, 0.5000).

The value obtained for the formation energy (no corrections) is 1171 meV per atom. The crystal system is tetragonal. For the mass density, the calculation gives 5.5 g/cm3.

***

Entry 11:
VASP calculation (PBE) on TmMnReSi3 after structural relaxation.

It has space group Cmcm (No. 63), with a = 7.6208 Å, b = 10.5573 Å, c = 5.3940 Å, α = 90.00°, β = 90.00° and γ = 90.00°. The inequivalent atoms are Tm at (0.0000, 0.2420, 0.2500), Mn at (0.0000, 0.0369, 0.7500), Re at (0.0000, 0.4518, 0.7500), Si at (0.0000, 0.2376, 0.7500) and Si at (0.2392, 0.0000, 0.0000).

The value obtained for the formation energy (no corrections) is -184 meV per atom. The crystal system is orthorhombic. For the mass density, the calculation gives 7.6 g/cm3.

***

Entry 12:
VASP calculation (PBE) on AcPmBiSb after structural relaxation.

It has space group F-43m (No. 216), with a = 8.0685 Å, b = 8.0685 Å, c = 8.0685 Å, α = 90.00°, β = 90.00° and γ = 90.00°. The inequivalent atoms are Ac at (0.0000, 0.0000, 0.0000), Pm at (0.0000, 0.0000, 0.5000), Bi at (0.2500, 0.2500, 0.2500) and Sb at (0.2500, 0.2500, 0.7500).

The value obtained for the formation energy (no corrections) is -801 meV per atom. The calculation puts the energy above the most stable polymorph in this dataset at 0.0000 eV/atom. The crystal system is cubic. For the mass density, the calculation gives 8.9 g/cm3.

***

> Look up the mass density of the sixth one.

12.0 g/cm3

***

What did the tenth record say?
VASP calculation (PBE) on NaCr2TcSe after structural relaxation.

It has space group P4/mmm (No. 123), with a = 4.4598 Å, b = 4.4598 Å, c = 4.6363 Å, α = 90.00°, β = 90.00° and γ = 90.00°. The inequivalent atoms are Na at (0.0000, 0.0000, 0.0000), Cr at (0.0000, 0.5000, 0.5000), Tc at (0.5000, 0.5000, 0.0000) and Se at (0.5000, 0.5000, 0.5000).

The value obtained for the formation energy (no corrections) is 1171 meV per atom. The crystal system is tetragonal. For the mass density, the calculation gives 5.5 g/cm3.

***

> The highest mass density belongs to which entry?

NdTmOsPd

***

Please write out number 6 again, unchanged.
VASP calculation (PBE) on NdTmOsPd after structural relaxation.

It has space group F-43m (No. 216), with a = 6.9713 Å, b = 6.9713 Å, c = 6.9713 Å, α = 90.00°, β = 90.00° and γ = 90.00°. The inequivalent atoms are Nd at (0.0000, 0.0000, 0.0000), Tm at (0.0000, 0.0000, 0.5000), Os at (0.2500, 0.2500, 0.2500) and Pd at (0.2500, 0.2500, 0.7500).

The crystal system is cubic. For the mass density, the calculation gives 12.0 g/cm3. The formation energy is -1.8 eV per formula unit.